No. 1
VASP calculation (PBE) on crystalline ZrB2Pd at its relaxed geometry.

Geometry as POSCAR:
```
ZrB2Pd
1.0
0.054 1.598 3.897
-3.181 -0.790 2.645
0.593 -2.538 3.309
Pd B Zr
1 2 1
Direct
0.750 0.750 0.750
0.250 0.250 0.250
0.500 0.500 0.500
0.000 0.000 0.000
```

Values from the calculation:
Energy: -0.2251 Ha/atom
ρ: 6891 kg/m³



No. 2
VASP calculation (PBE) on crystalline ZrTlF4 at its relaxed geometry.

Geometry as POSCAR:
```
ZrTlF4
1.0
6.970 -2.688 0.000
6.970 2.688 0.000
-1.814 0.000 4.791
F Tl Zr
8 2 2
Direct
0.711 0.907 0.415
0.478 0.731 0.931
0.907 0.711 0.915
0.731 0.478 0.431
0.093 0.289 0.085
0.289 0.093 0.585
0.269 0.522 0.569
0.522 0.269 0.069
0.212 0.788 0.250
0.788 0.212 0.750
0.500 0.000 0.000
0.000 0.500 0.500
```

Values from the calculation:
Energy: -0.2131 Ha/atom
ρ: 6874 kg/m³



No. 3
VASP calculation (PBE) on crystalline KLiAu at its relaxed geometry.

Geometry as POSCAR:
```
KLiAu
1.0
0.000 3.635 3.635
3.635 0.000 3.635
3.635 3.635 0.000
Au Li K
1 1 1
Direct
0.000 0.000 0.000
0.750 0.750 0.750
0.250 0.250 0.250
```

Values from the calculation:
Polymorph energy (0 for the lowest one): 0.000 eV per atom
Energy: -0.0795 Ha/atom
ρ: 4202 kg/m³



No. 4
VASP calculation (PBE) on crystalline Gd2TmMg3Al2Hg at its relaxed geometry.

Geometry as POSCAR:
```
Gd2TmMg3Al2Hg
1.0
4.533 0.000 0.000
0.000 6.384 3.726
0.000 -6.384 3.726
Al Tm Mg Hg Gd
2 1 3 1 2
Direct
0.500 0.666 0.337
0.500 0.337 0.666
0.000 0.576 0.576
0.500 0.244 0.244
0.500 0.000 0.755
0.500 0.755 0.000
0.000 0.995 0.995
0.000 0.001 0.426
0.000 0.426 0.001
```

Values from the calculation:
Energy: -0.1204 Ha/atom
ρ: 6245 kg/m³



No. 5
VASP calculation (PBE) on crystalline AlGaCu at its relaxed geometry.

Geometry as POSCAR:
```
AlGaCu
1.0
-2.657 -2.855 -1.242
2.444 -0.901 -3.157
2.740 -3.963 3.251
Al Cu Ga
2 2 2
Direct
0.500 0.500 0.750
0.500 0.500 0.250
0.000 0.500 0.000
0.500 0.000 0.500
0.000 0.000 0.250
0.000 0.000 0.750
```

Values from the calculation:
Energy: -0.1334 Ha/atom
ρ: 5466 kg/m³



No. 6
VASP calculation (PBE) on crystalline CsAgAsAu at its relaxed geometry.

Geometry as POSCAR:
```
CsAgAsAu
1.0
0.000 3.751 3.751
3.751 0.000 3.751
3.751 3.751 0.000
Cs Au As Ag
1 1 1 1
Direct
0.500 0.500 0.500
0.750 0.750 0.750
0.000 0.000 0.000
0.250 0.250 0.250
```

Values from the calculation:
Polymorph energy (0 for the lowest one): 0.000 eV per atom
Energy: -0.0913 Ha/atom
ρ: 8068 kg/m³



No. 7
VASP calculation (PBE) on crystalline ScCdInSe3 at its relaxed geometry.

Geometry as POSCAR:
```
ScCdInSe3
1.0
-5.964 -1.248 4.370
-5.299 -4.731 2.398
6.511 -3.261 7.955
Se Cd Sc In
6 2 2 2
Direct
0.371 0.371 0.467
0.371 0.371 0.033
0.930 0.930 0.750
0.070 0.070 0.250
0.629 0.629 0.533
0.629 0.629 0.967
0.551 0.551 0.750
0.449 0.449 0.250
0.000 0.000 0.500
0.000 0.000 0.000
0.740 0.740 0.250
0.260 0.260 0.750
```

Values from the calculation:
Energy: -0.1583 Ha/atom
ρ: 5353 kg/m³



No. 8
VASP calculation (PBE) on crystalline BeZn2Bi at its relaxed geometry.

Geometry as POSCAR:
```
BeZn2Bi
1.0
0.000 3.359 3.359
3.359 0.000 3.359
3.359 3.359 0.000
Bi Zn Be
1 2 1
Direct
0.500 0.500 0.500
0.750 0.750 0.750
0.000 0.000 0.000
0.250 0.250 0.250
```

Values from the calculation:
Energy: -0.0760 Ha/atom
ρ: 7644 kg/m³



No. 9
VASP calculation (PBE) on crystalline Tm2Co2SiGeC at its relaxed geometry.

Geometry as POSCAR:
```
Tm2Co2SiGeC
1.0
-2.719 2.502 -4.224
-0.477 -0.316 -5.583
-2.678 -4.274 4.447
Co Tm Ge C Si
2 2 1 1 1
Direct
0.194 0.194 0.080
0.800 0.800 0.905
0.563 0.563 0.295
0.438 0.438 0.708
0.848 0.848 0.308
0.999 0.999 0.999
0.159 0.159 0.705
```

Values from the calculation:
Energy: -0.2468 Ha/atom
ρ: 8873 kg/m³



No. 10
VASP calculation (PBE) on crystalline LaHoCu2 at its relaxed geometry.

Geometry as POSCAR:
```
LaHoCu2
1.0
4.551 0.000 0.000
0.000 7.304 0.000
0.000 0.000 5.480
Ho Cu La
2 4 2
Direct
0.500 0.065 0.135
0.000 0.935 0.635
0.500 0.737 0.871
0.000 0.803 0.121
0.500 0.197 0.621
0.000 0.263 0.371
0.000 0.427 0.872
0.500 0.573 0.372
```

Values from the calculation:
E_form: -219.8 meV/atom
Polymorph energy (0 for the lowest one): 0.000 eV per atom
Energy: -0.1636 Ha/atom
ρ: 7858 kg/m³



No. 11
VASP calculation (PBE) on crystalline FePd at its relaxed geometry.

Geometry as POSCAR:
```
FePd
1.0
0.000 2.648 2.648
2.648 0.000 2.648
2.648 2.648 0.000
Fe Pd
1 1
Direct
0.000 0.000 0.000
0.250 0.250 0.250
```

Values from the calculation:
E_form: 1128.0 meV/atom
Energy: -0.2063 Ha/atom
ρ: 7258 kg/m³



No. 12
VASP calculation (PBE) on crystalline Li8Dy4O11 at its relaxed geometry.

Geometry as POSCAR:
```
Li8Dy4O11
1.0
-5.105 -10.523 -0.143
-2.533 5.246 -0.067
1.623 0.004 -4.847
Li Dy O
8 4 11
Direct
0.805 0.343 0.449
0.217 0.394 0.675
0.291 0.564 0.261
0.116 0.601 0.442
0.689 0.615 0.477
0.750 0.456 0.958
0.556 0.072 0.521
0.934 0.872 0.391
0.557 0.758 0.919
0.400 0.059 0.933
0.922 0.179 0.950
0.100 0.915 0.030
0.599 0.160 0.191
0.903 0.793 0.728
0.948 0.557 0.228
0.273 0.878 0.260
0.757 0.824 0.179
0.322 0.336 0.968
0.573 0.410 0.734
0.721 0.077 0.701
0.398 0.751 0.637
0.126 0.584 0.815
0.090 0.228 0.295
```

Values from the calculation:
Polymorph energy (0 for the lowest one): 0.000 eV per atom
Energy: -0.2281 Ha/atom
ρ: 5601 kg/m³